Computed, not measured: a geometry-optimized ThMgSc2 structure at the PBE level of DFT.

a b c (Å): 4.717 4.724 4.724
angles (deg): 90.00 90.00 90.00
Fractional coordinates of all 4 atoms:
1 Sc 0.000 0.500 0.000
2 Sc 0.000 0.000 0.500
3 Th 0.500 0.500 0.500
4 Mg 0.500 0.000 0.000

- Uncorrected energy: -5.34 eV/atom
- Formation energy from the elements: 0.078 eV per atom
- Distance to the lowest polymorph of the same formula: 105 meV per atom

Computed, not measured: a geometry-optimized TbEuYTm structure at the PBE level of DFT.

a b c (Å): 5.736 5.736 5.736
angles (deg): 60.00 60.00 60.00
Fractional coordinates of all 4 atoms:
1 Tm 0.000 0.000 0.000
2 Y 0.750 0.750 0.750
3 Tb 0.250 0.250 0.250
4 Eu 0.500 0.500 0.500

- Uncorrected energy: -6.30 eV/atom
- Formation energy from the elements: 0.162 eV per atom

Computed, not measured: a geometry-optimized BaTaAs2Os structure at the PBE level of DFT.

a b c (Å): 5.239 5.305 5.239
angles (deg): 90.00 90.00 90.00
Fractional coordinates of all 5 atoms:
1 As 0.000 0.000 0.500
2 As 0.500 0.000 0.000
3 Ta 0.000 0.500 0.000
4 Ba 0.000 0.000 0.000
5 Os 0.500 0.500 0.500

- Uncorrected energy: -3.69 eV/atom
- Formation energy from the elements: 3.170 eV per atom

Q: Among the records above, which one has the highest formation energy from the elements?
A: BaTaAs2Os

Please write out number 2 again, unchanged.
Computed, not measured: a geometry-optimized TbEuYTm structure at the PBE level of DFT.

a b c (Å): 5.736 5.736 5.736
angles (deg): 60.00 60.00 60.00
Fractional coordinates of all 4 atoms:
1 Tm 0.000 0.000 0.000
2 Y 0.750 0.750 0.750
3 Tb 0.250 0.250 0.250
4 Eu 0.500 0.500 0.500

- Uncorrected energy: -6.30 eV/atom
- Formation energy from the elements: 0.162 eV per atom

Copy entry 1 word for word.
Computed, not measured: a geometry-optimized ThMgSc2 structure at the PBE level of DFT.

a b c (Å): 4.717 4.724 4.724
angles (deg): 90.00 90.00 90.00
Fractional coordinates of all 4 atoms:
1 Sc 0.000 0.500 0.000
2 Sc 0.000 0.000 0.500
3 Th 0.500 0.500 0.500
4 Mg 0.500 0.000 0.000

- Uncorrected energy: -5.34 eV/atom
- Formation energy from the elements: 0.078 eV per atom
- Distance to the lowest polymorph of the same formula: 105 meV per atom